Density functional theory data (PBE) for a relaxed LiNpUSe4 crystal.

abc: 8.2976 8.3168 11.7555
angles: 90.00 90.00 90.00
Space group Imma (No. 74)
Symmetry-distinct sites (fractional):
Li  0.0000  0.2500  0.1232 x4
Np  0.0000  0.0000  0.5000 x4
U  0.2500  0.2500  0.7500 x4
Se  0.0000  0.0133  0.7459 x8
Se  0.2399  0.2500  0.5082 x8

- crystal system = orthorhombic
- calculated total energy (eV/cell) = -193.022
- volume (Å³ per atom) = 28.973
- density of states at the Fermi level (states/eV/f.u.) = 13.606